1.
# Y8HSe4S3 (GGA-PBE, optimized geometry)
# - Calculated total energy: -6.745 eV/atom
# - Crystal system: trigonal
data_Y8HSe4S3
_chemical_formula_sum 'Y24 H3 Se12 S9'
_cell_length_a 7.8934
_cell_length_b 7.8934
_cell_length_c 19.7669
_cell_angle_alpha 90.00
_cell_angle_beta 90.00
_cell_angle_gamma 120.00
_symmetry_space_group_name_H-M 'R -3 m'
_symmetry_Int_Tables_number 166
_symmetry_space_group_name_Hall '-R 3 2"'
loop_
_atom_site_label
_atom_site_fract_x
_atom_site_fract_y
_atom_site_fract_z
Y1 0.0000 0.0000 0.2420
Y2 0.0057 0.5028 0.2421
H1 0.0000 0.0000 0.5000
Se1 0.0000 0.0000 0.0000
Se2 0.0000 0.5000 0.0000
S1 0.0000 0.5000 0.5000

2.
# ErNi4Ru (GGA-PBE, optimized geometry)
# - ΔH_f (0 K): -152.5 meV per atom
# - Crystal system: cubic
data_ErNi4Ru
_chemical_formula_sum 'Er4 Ni16 Ru4'
_cell_length_a 6.876
_cell_length_b 6.876
_cell_length_c 6.876
_cell_angle_alpha 90.00
_cell_angle_beta 90.00
_cell_angle_gamma 90.00
_symmetry_space_group_name_H-M 'F -4 3 m'
_symmetry_Int_Tables_number 216
_symmetry_space_group_name_Hall 'F -4 2 3'
loop_
_atom_site_label
_atom_site_fract_x
_atom_site_fract_y
_atom_site_fract_z
Er1 0.000 0.000 0.000
Ni1 0.124 0.124 0.376
Ru1 0.250 0.250 0.750

3.
# SrInGaHIr (GGA-PBE, optimized geometry)
# - Calculated total energy: -4.284 eV/atom
# - Crystal system: triclinic
data_SrInGaHIr
_chemical_formula_sum 'Sr1 In1 Ga1 H1 Ir1'
_cell_length_a 4.709
_cell_length_b 4.893
_cell_length_c 5.688
_cell_angle_alpha 114.74
_cell_angle_beta 108.18
_cell_angle_gamma 96.42
_symmetry_space_group_name_H-M 'P 1'
_symmetry_Int_Tables_number 1
_symmetry_space_group_name_Hall 'P 1'
loop_
_atom_site_label
_atom_site_fract_x
_atom_site_fract_y
_atom_site_fract_z
Sr1 0.000 0.000 0.000
In1 0.374 0.358 0.702
Ga1 0.629 0.719 0.323
H1 0.922 0.440 0.430
Ir1 0.188 0.729 0.469

4.
# Tm2ZrIn (GGA-PBE, optimized geometry)
# - ΔH_f (0 K): 17.6 meV per atom
# - Crystal system: monoclinic
data_Tm2ZrIn
_chemical_formula_sum 'Tm4 Zr2 In2'
_cell_length_a 4.484
_cell_length_b 4.427
_cell_length_c 10.974
_cell_angle_alpha 90.00
_cell_angle_beta 101.49
_cell_angle_gamma 90.00
_symmetry_space_group_name_H-M 'P 1 21/m 1'
_symmetry_Int_Tables_number 11
_symmetry_space_group_name_Hall '-P 2yb'
loop_
_atom_site_label
_atom_site_fract_x
_atom_site_fract_y
_atom_site_fract_z
Tm1 0.063 0.250 0.130
Tm2 0.433 0.250 0.864
Zr1 0.314 0.750 0.618
In1 0.168 0.750 0.345

5.
# Ho4AgPd2Ru (GGA-PBE, optimized geometry)
# - ΔH_f (0 K): -649.9 meV per atom
# - Crystal system: trigonal
data_Ho4AgPd2Ru
_chemical_formula_sum 'Ho12 Ag3 Pd6 Ru3'
_cell_length_a 4.9439
_cell_length_b 4.9439
_cell_length_c 24.2697
_cell_angle_alpha 90.00
_cell_angle_beta 90.00
_cell_angle_gamma 120.00
_symmetry_space_group_name_H-M 'R -3 m'
_symmetry_Int_Tables_number 166
_symmetry_space_group_name_Hall '-R 3 2"'
loop_
_atom_site_label
_atom_site_fract_x
_atom_site_fract_y
_atom_site_fract_z
Ho1 0.0000 0.0000 0.1192
Ho2 0.0000 0.0000 0.3705
Ag1 0.0000 0.0000 0.5000
Pd1 0.0000 0.0000 0.2497
Ru1 0.0000 0.0000 0.0000

6.
# OsBrCl2 (GGA-PBE, optimized geometry)
# - Crystal system: orthorhombic
# - Formation energy from raw total energies: 1.2385 eV/atom
data_OsBrCl2
_chemical_formula_sum 'Os1 Br1 Cl2'
_cell_length_a 3.060
_cell_length_b 4.319
_cell_length_c 6.936
_cell_angle_alpha 90.00
_cell_angle_beta 90.00
_cell_angle_gamma 90.00
_symmetry_space_group_name_H-M 'P m m m'
_symmetry_Int_Tables_number 47
_symmetry_space_group_name_Hall '-P 2 2'
loop_
_atom_site_label
_atom_site_fract_x
_atom_site_fract_y
_atom_site_fract_z
Os1 0.000 0.000 0.000
Br1 0.500 0.000 0.500
Cl1 0.000 0.500 0.500
Cl2 0.500 0.500 0.000

7.
# La2Pr5Dy3 (GGA-PBE, optimized geometry)
# - ΔH_f (0 K): 172.6 meV per atom
# - Crystal system: monoclinic
data_La2Pr5Dy3
_chemical_formula_sum 'La8 Pr20 Dy12'
_cell_length_a 11.180
_cell_length_b 15.339
_cell_length_c 9.971
_cell_angle_alpha 90.00
_cell_angle_beta 123.95
_cell_angle_gamma 90.00
_symmetry_space_group_name_H-M 'C 1 2/c 1'
_symmetry_Int_Tables_number 15
_symmetry_space_group_name_Hall '-C 2yc'
loop_
_atom_site_label
_atom_site_fract_x
_atom_site_fract_y
_atom_site_fract_z
La1 0.150 0.123 0.057
Pr1 0.000 0.227 0.250
Pr2 0.000 0.266 0.750
Pr3 0.000 0.469 0.750
Pr4 0.238 0.381 0.235
Dy1 0.000 0.021 0.250
Dy2 0.156 0.377 0.549

8.
# Pm3Pu2Ru4 (GGA-PBE, optimized geometry)
# - ΔH_f (0 K): -279.2 meV per atom
# - Crystal system: monoclinic
data_Pm3Pu2Ru4
_chemical_formula_sum 'Pm6 Pu4 Ru8'
_cell_length_a 11.125
_cell_length_b 4.230
_cell_length_c 8.976
_cell_angle_alpha 90.00
_cell_angle_beta 101.66
_cell_angle_gamma 90.00
_symmetry_space_group_name_H-M 'C 1 2/m 1'
_symmetry_Int_Tables_number 12
_symmetry_space_group_name_Hall '-C 2y'
loop_
_atom_site_label
_atom_site_fract_x
_atom_site_fract_y
_atom_site_fract_z
Pm1 0.000 0.000 0.000
Pm2 0.125 0.500 0.386
Pu1 0.172 0.500 0.784
Ru1 0.088 0.000 0.631
Ru2 0.219 0.500 0.094

9.
# NbSn4Mo (GGA-PBE, optimized geometry)
# - ΔH_f (0 K): -2.9 meV per atom
# - Crystal system: tetragonal
data_NbSn4Mo
_chemical_formula_sum 'Nb4 Sn16 Mo4'
_cell_length_a 6.854
_cell_length_b 6.854
_cell_length_c 11.323
_cell_angle_alpha 90.00
_cell_angle_beta 90.00
_cell_angle_gamma 90.00
_symmetry_space_group_name_H-M 'I 4/m c m'
_symmetry_Int_Tables_number 140
_symmetry_space_group_name_Hall '-I 4 2c'
loop_
_atom_site_label
_atom_site_fract_x
_atom_site_fract_y
_atom_site_fract_z
Nb1 0.000 0.000 0.000
Sn1 0.155 0.345 0.135
Mo1 0.000 0.000 0.250

10.
# CrGa2Tc (GGA-PBE, optimized geometry)
# - ΔH_f (0 K): 15.0 meV per atom
# - Crystal system: tetragonal
data_CrGa2Tc
_chemical_formula_sum 'Cr1 Ga2 Tc1'
_cell_length_a 4.229
_cell_length_b 4.229
_cell_length_c 3.210
_cell_angle_alpha 90.00
_cell_angle_beta 90.00
_cell_angle_gamma 90.00
_symmetry_space_group_name_H-M 'P 4/m m m'
_symmetry_Int_Tables_number 123
_symmetry_space_group_name_Hall '-P 4 2'
loop_
_atom_site_label
_atom_site_fract_x
_atom_site_fract_y
_atom_site_fract_z
Cr1 0.000 0.000 0.000
Ga1 0.000 0.500 0.500
Tc1 0.500 0.500 0.000

11.
# MoOsPb2Se (GGA-PBE, optimized geometry)
# - Crystal system: triclinic
# - Formation energy from raw total energies: 0.3311 eV/atom
data_MoOsPb2Se
_chemical_formula_sum 'Mo1 Os1 Pb2 Se1'
_cell_length_a 3.464
_cell_length_b 5.965
_cell_length_c 6.149
_cell_angle_alpha 102.32
_cell_angle_beta 105.53
_cell_angle_gamma 90.03
_symmetry_space_group_name_H-M 'P 1'
_symmetry_Int_Tables_number 1
_symmetry_space_group_name_Hall 'P 1'
loop_
_atom_site_label
_atom_site_fract_x
_atom_site_fract_y
_atom_site_fract_z
Mo1 0.000 0.000 0.000
Os1 0.553 0.770 0.119
Pb1 0.311 0.679 0.598
Pb2 0.766 0.149 0.512
Se1 0.528 0.347 0.066

12.
# La2NbAlZn (GGA-PBE, optimized geometry)
# - ΔH_f (0 K): 376.2 meV per atom
# - Crystal system: tetragonal
data_La2NbAlZn
_chemical_formula_sum 'La2 Nb1 Al1 Zn1'
_cell_length_a 5.473
_cell_length_b 5.473
_cell_length_c 5.150
_cell_angle_alpha 90.00
_cell_angle_beta 90.00
_cell_angle_gamma 90.00
_symmetry_space_group_name_H-M 'P 4/m m m'
_symmetry_Int_Tables_number 123
_symmetry_space_group_name_Hall '-P 4 2'
loop_
_atom_site_label
_atom_site_fract_x
_atom_site_fract_y
_atom_site_fract_z
La1 0.000 0.500 0.000
Nb1 0.000 0.000 0.000
Al1 0.000 0.000 0.500
Zn1 0.500 0.500 0.500

13.
# FeTc2Os (GGA-PBE, optimized geometry)
# - ΔH_f (0 K): 709.6 meV per atom
# - Crystal system: tetragonal
data_FeTc2Os
_chemical_formula_sum 'Fe4 Tc8 Os4'
_cell_length_a 3.708
_cell_length_b 3.708
_cell_length_c 17.564
_cell_angle_alpha 90.00
_cell_angle_beta 90.00
_cell_angle_gamma 90.00
_symmetry_space_group_name_H-M 'I -4 2 d'
_symmetry_Int_Tables_number 122
_symmetry_space_group_name_Hall 'I -4 2bw'
loop_
_atom_site_label
_atom_site_fract_x
_atom_site_fract_y
_atom_site_fract_z
Fe1 0.000 0.000 0.000
Tc1 0.218 0.250 0.125
Os1 0.000 0.000 0.500

14.
# CsNaSbSe2 (GGA-PBE, optimized geometry)
# - Crystal system: orthorhombic
# - Formation energy from raw total energies: -0.7078 eV/atom
data_CsNaSbSe2
_chemical_formula_sum 'Cs2 Na2 Sb2 Se4'
_cell_length_a 6.151
_cell_length_b 8.294
_cell_length_c 6.613
_cell_angle_alpha 90.00
_cell_angle_beta 90.00
_cell_angle_gamma 90.00
_symmetry_space_group_name_H-M 'P m m a'
_symmetry_Int_Tables_number 51
_symmetry_space_group_name_Hall '-P 2a 2a'
loop_
_atom_site_label
_atom_site_fract_x
_atom_site_fract_y
_atom_site_fract_z
Cs1 0.250 0.000 0.237
Na1 0.250 0.500 0.439
Sb1 0.000 0.500 0.000
Se1 0.250 0.269 0.761

15.
# HoSc12Co5 (GGA-PBE, optimized geometry)
# - ΔH_f (0 K): -180.1 meV per atom
# - Crystal system: orthorhombic
data_HoSc12Co5
_chemical_formula_sum 'Ho2 Sc24 Co10'
_cell_length_a 8.617
_cell_length_b 8.689
_cell_length_c 9.648
_cell_angle_alpha 90.00
_cell_angle_beta 90.00
_cell_angle_gamma 90.00
_symmetry_space_group_name_H-M 'I m m m'
_symmetry_Int_Tables_number 71
_symmetry_space_group_name_Hall '-I 2 2'
loop_
_atom_site_label
_atom_site_fract_x
_atom_site_fract_y
_atom_site_fract_z
Ho1 0.000 0.000 0.000
Sc1 0.000 0.315 0.185
Sc2 0.179 0.274 0.500
Sc3 0.190 0.000 0.281
Co1 0.000 0.000 0.500
Co2 0.000 0.500 0.382
Co3 0.153 0.500 0.000

16.
# ZrIn2Hg (GGA-PBE, optimized geometry)
# - ΔH_f (0 K): -49.3 meV per atom
# - Crystal system: trigonal
data_ZrIn2Hg
_chemical_formula_sum 'Zr3 In6 Hg3'
_cell_length_a 3.3170
_cell_length_b 3.3170
_cell_length_c 30.2088
_cell_angle_alpha 90.00
_cell_angle_beta 90.00
_cell_angle_gamma 120.00
_symmetry_space_group_name_H-M 'R 3 m'
_symmetry_Int_Tables_number 160
_symmetry_space_group_name_Hall 'R 3 -2"'
loop_
_atom_site_label
_atom_site_fract_x
_atom_site_fract_y
_atom_site_fract_z
Zr1 0.0000 0.0000 0.0000
In1 0.0000 0.0000 0.2514
In2 0.0000 0.0000 0.4974
Hg1 0.0000 0.0000 0.7467

17.
# Li3CeY2Se6 (GGA-PBE, optimized geometry)
# - Crystal system: monoclinic
# - Formation energy from raw total energies: -1.6655 eV/atom
data_Li3CeY2Se6
_chemical_formula_sum 'Li6 Ce2 Y4 Se12'
_cell_length_a 7.139
_cell_length_b 12.370
_cell_length_c 6.922
_cell_angle_alpha 90.00
_cell_angle_beta 110.05
_cell_angle_gamma 90.00
_symmetry_space_group_name_H-M 'C 1 2/m 1'
_symmetry_Int_Tables_number 12
_symmetry_space_group_name_Hall '-C 2y'
loop_
_atom_site_label
_atom_site_fract_x
_atom_site_fract_y
_atom_site_fract_z
Li1 0.000 0.000 0.000
Li2 0.000 0.331 0.000
Ce1 0.000 0.500 0.500
Y1 0.000 0.166 0.500
Se1 0.244 0.000 0.756
Se2 0.245 0.170 0.245

18.
# BaNaHg (GGA-PBE, optimized geometry)
# - ΔH_f (0 K): -299.0 meV per atom
# - Crystal system: monoclinic
data_BaNaHg
_chemical_formula_sum 'Ba2 Na2 Hg2'
_cell_length_a 4.234
_cell_length_b 5.508
_cell_length_c 10.136
_cell_angle_alpha 90.00
_cell_angle_beta 90.03
_cell_angle_gamma 90.00
_symmetry_space_group_name_H-M 'P 1 m 1'
_symmetry_Int_Tables_number 6
_symmetry_space_group_name_Hall 'P -2y'
loop_
_atom_site_label
_atom_site_fract_x
_atom_site_fract_y
_atom_site_fract_z
Ba1 0.000 0.000 0.000
Ba2 0.000 0.500 0.370
Na1 0.501 0.500 0.777
Na2 0.503 0.000 0.592
Hg1 0.500 0.000 0.282
Hg2 0.500 0.500 0.088

19.
# Li8ZnPt2 (GGA-PBE, optimized geometry)
# - ΔH_f (0 K): -289.7 meV per atom
# - Crystal system: orthorhombic
data_Li8ZnPt2
_chemical_formula_sum 'Li16 Zn2 Pt4'
_cell_length_a 7.966
_cell_length_b 10.717
_cell_length_c 4.233
_cell_angle_alpha 90.00
_cell_angle_beta 90.00
_cell_angle_gamma 90.00
_symmetry_space_group_name_H-M 'C m m m'
_symmetry_Int_Tables_number 65
_symmetry_space_group_name_Hall '-C 2 2'
loop_
_atom_site_label
_atom_site_fract_x
_atom_site_fract_y
_atom_site_fract_z
Li1 0.000 0.244 0.000
Li2 0.156 0.000 0.000
Li3 0.175 0.358 0.500
Zn1 0.000 0.500 0.000
Pt1 0.000 0.123 0.500

20.
# Nd2AlGaNi6 (GGA-PBE, optimized geometry)
# - ΔH_f (0 K): -375.7 meV per atom
# - Crystal system: triclinic
data_Nd2AlGaNi6
_chemical_formula_sum 'Nd2 Al1 Ga1 Ni6'
_cell_length_a 4.978
_cell_length_b 6.318
_cell_length_c 6.331
_cell_angle_alpha 80.28
_cell_angle_beta 66.87
_cell_angle_gamma 66.87
_symmetry_space_group_name_H-M 'P -1'
_symmetry_Int_Tables_number 2
_symmetry_space_group_name_Hall '-P 1'
loop_
_atom_site_label
_atom_site_fract_x
_atom_site_fract_y
_atom_site_fract_z
Nd1 0.249 0.300 0.202
Al1 0.000 0.000 0.000
Ga1 0.500 0.500 0.500
Ni1 0.234 0.766 0.265
Ni2 0.249 0.921 0.580
Ni3 0.266 0.233 0.735

21.
# BeSiP2 (GGA-PBE, optimized geometry)
# - Crystal system: monoclinic
# - Formation energy from raw total energies: -0.0867 eV/atom
data_BeSiP2
_chemical_formula_sum 'Be2 Si2 P4'
_cell_length_a 6.402
_cell_length_b 3.377
_cell_length_c 6.355
_cell_angle_alpha 90.00
_cell_angle_beta 114.93
_cell_angle_gamma 90.00
_symmetry_space_group_name_H-M 'C 1 m 1'
_symmetry_Int_Tables_number 8
_symmetry_space_group_name_Hall 'C -2y'
loop_
_atom_site_label
_atom_site_fract_x
_atom_site_fract_y
_atom_site_fract_z
Be1 0.000 0.000 0.000
Si1 0.451 0.500 0.568
P1 0.134 0.500 0.868
P2 0.186 0.000 0.375

22.
# KSrTe2 (GGA-PBE, optimized geometry)
# - Crystal system: tetragonal
# - Formation energy from raw total energies: -0.8726 eV/atom
data_KSrTe2
_chemical_formula_sum 'K4 Sr4 Te8'
_cell_length_a 6.990
_cell_length_b 6.990
_cell_length_c 18.147
_cell_angle_alpha 90.00
_cell_angle_beta 90.00
_cell_angle_gamma 90.00
_symmetry_space_group_name_H-M 'I -4 2 d'
_symmetry_Int_Tables_number 122
_symmetry_space_group_name_Hall 'I -4 2bw'
loop_
_atom_site_label
_atom_site_fract_x
_atom_site_fract_y
_atom_site_fract_z
K1 0.000 0.000 0.000
Sr1 0.000 0.000 0.500
Te1 0.205 0.250 0.625

23.
# Tm6HgIr2 (GGA-PBE, optimized geometry)
# - ΔH_f (0 K): -624.2 meV per atom
# - Crystal system: orthorhombic
data_Tm6HgIr2
_chemical_formula_sum 'Tm24 Hg4 Ir8'
_cell_length_a 9.215
_cell_length_b 9.414
_cell_length_c 10.318
_cell_angle_alpha 90.00
_cell_angle_beta 90.00
_cell_angle_gamma 90.00
_symmetry_space_group_name_H-M 'I m m m'
_symmetry_Int_Tables_number 71
_symmetry_space_group_name_Hall '-I 2 2'
loop_
_atom_site_label
_atom_site_fract_x
_atom_site_fract_y
_atom_site_fract_z
Tm1 0.000 0.202 0.241
Tm2 0.193 0.500 0.168
Tm3 0.216 0.319 0.500
Hg1 0.000 0.000 0.000
Hg2 0.000 0.000 0.500
Ir1 0.000 0.334 0.000
Ir2 0.000 0.500 0.368

Spin magnetization per entry: 0.00, 3.11, 0.00, 0.00, 0.00, 2.53, 0.00, 7.64, 0.51, 3.60, 0.00, 0.00, 2.09, 0.00, 0.00, 0.00, 0.99, 0.00, 0.00, 0.00, 0.00, 1.00, 0.00 μB/f.u.